Compound: CeAs2PRu2
Source: the Alexandria database
Functional: GGA-PBE
Structure: relaxed

Structure (extended XYZ):
```
6
Lattice="4.4649 0.0000 0.0000 0.0000 4.4649 0.0000 0.0000 0.0000 5.6743" Properties=species:S:1:pos:R:3 pbc="T T T"
Ce 0.0000 0.0000 0.0000
As 2.2325 2.2325 1.2885
As 2.2325 2.2325 4.3858
P 0.0000 0.0000 2.8372
Ru 0.0000 2.2325 2.8372
Ru 2.2325 0.0000 2.8372
```

## Properties
total DFT energy (no corrections) = -6.91 eV per atom
space-group type = P4/mmm, No. 123
density of states at the Fermi level = 8.6 states/eV/cell
energy of formation from the pure elements = -379.0 meV per atom